DFT (GGA-PBE) results for a relaxed structure of Rb2NdYO4.

abc: 3.597 6.226 6.907
angles: 107.40 90.00 90.00
Sites, in units of the cell vectors:
Rb1 0.000 0.500 0.500
O1 0.500 0.782 0.822
Rb2 0.500 0.000 0.500
Y1 0.000 0.000 0.000
O2 0.000 0.735 0.179
O3 0.000 0.265 0.821
O4 0.500 0.218 0.178
Nd1 0.500 0.500 0.000

Calculated values
As for the formation energy from raw total energies: -2.609 eV per atom.

---

DFT (GGA-PBE) results for a relaxed structure of Rb3Nd2YO6.

abc: 6.271 6.271 6.921
angles: 98.68 98.68 120.01
Sites, in units of the cell vectors:
O1 0.264 0.264 0.821
Nd1 0.667 0.333 0.000
Nd2 0.333 0.667 0.000
O2 0.616 0.940 0.821
O3 0.940 0.616 0.821
Rb1 0.166 0.834 0.500
O4 0.384 0.060 0.179
Rb2 0.834 0.166 0.500
Y1 0.000 0.000 0.000
O5 0.736 0.736 0.179
Rb3 0.500 0.500 0.500
O6 0.060 0.384 0.179

Calculated values
As for the formation energy from raw total energies: -2.592 eV per atom.

---

DFT (GGA-PBE) results for a relaxed structure of RbNdZnO3.

abc: 3.669 8.070 8.344
angles: 104.55 90.00 90.00
Sites, in units of the cell vectors:
Zn1 0.250 0.079 0.612
Zn2 0.750 0.921 0.388
O1 0.750 0.456 0.132
Rb1 0.250 0.187 0.205
Rb2 0.750 0.813 0.795
Nd1 0.750 0.349 0.847
O2 0.750 0.158 0.542
O3 0.250 0.152 0.851
O4 0.250 0.842 0.458
O5 0.250 0.544 0.868
O6 0.750 0.848 0.149
Nd2 0.250 0.651 0.153

Calculated values
As for the formation energy from raw total energies: -2.129 eV per atom.

---

| no. | ρ (g cm⁻³) |
| --- | --- |
| 1 | 5.27 |
| 2 | 5.39 |
| 3 | 4.76 |